## InAsOs2 (PBE)

Data for an optimized crystal structure of InAsOs2.

* energy of formation: 0.480 eV per atom
* symmetry: C2/m (12)
* excess energy over the best structure of this formula in the dataset: 181 meV/atom

a = 4.408 Å, b = 4.408 Å, c = 5.469 Å
α = 99.81°, β = 99.81°, γ = 39.62°
Atoms (fractional coordinates):
1 In 0.000 0.000 0.000
2 As 0.500 0.500 0.500
3 Os 0.248 0.248 0.707
4 Os 0.752 0.752 0.293